1.
A crystal of Ta2PbW relaxed with PBEsol, computed with SCAN. Values from VASP.

E_tot   -69.19 eV/atom
Formation energy from the elements   45.1 kJ per mole of atoms
SG   No. 12

```
&SYSTEM
  ibrav = 0, nat = 4, ntyp = 3
/
ATOMIC_SPECIES
W 183.84 W.upf
Ta 180.95 Ta.upf
Pb 207.20 Pb.upf
CELL_PARAMETERS angstrom
2.921 0.014 0.023
-0.657 5.261 0.031
-0.657 -2.306 4.728
ATOMIC_POSITIONS crystal
W 0.500 0.500 0.500
Ta 0.000 0.500 0.000
Ta 0.000 0.000 0.500
Pb 0.500 0.000 0.000
```

2.
A crystal of Ca3WO relaxed with PBEsol, computed with SCAN. Values from VASP.

ΔE_f (raw)   117 kJ per mole of atoms
E_tot   -19.77 eV/atom
SG   No. 221
Energy above the lowest structure with this stoichiometry   1.664 eV/atom

```
&SYSTEM
  ibrav = 0, nat = 5, ntyp = 3
/
ATOMIC_SPECIES
O 16.00 O.upf
Ca 40.08 Ca.upf
W 183.84 W.upf
CELL_PARAMETERS angstrom
5.236 0.000 0.000
0.000 5.236 0.000
0.000 0.000 5.236
ATOMIC_POSITIONS crystal
O 0.500 0.500 0.500
Ca 0.000 0.000 0.500
Ca 0.000 0.500 0.000
Ca 0.500 0.000 0.000
W 0.000 0.000 0.000
```

3.
A crystal of Ti2GePb2 relaxed with PBEsol, computed with SCAN. Values from VASP.

E_tot   -40.22 eV/atom
Formation energy from the elements   31.1 kJ per mole of atoms
SG   No. 139

```
&SYSTEM
  ibrav = 0, nat = 5, ntyp = 3
/
ATOMIC_SPECIES
Pb 207.20 Pb.upf
Ge 72.64 Ge.upf
Ti 47.87 Ti.upf
CELL_PARAMETERS angstrom
-0.332 -3.758 -1.440
3.305 -1.079 2.053
-5.357 0.715 5.027
ATOMIC_POSITIONS crystal
Pb 0.750 0.250 0.500
Pb 0.250 0.750 0.500
Ge 0.000 0.000 0.000
Ti 0.412 0.412 0.825
Ti 0.588 0.588 0.175
```

4.
A crystal of Li2AsBr2 relaxed with PBEsol, computed with SCAN. Values from VASP.

ΔE_f (raw)   -72 kJ per mole of atoms
E_tot   -13.52 eV/atom
SG   No. 139

```
&SYSTEM
  ibrav = 0, nat = 5, ntyp = 3
/
ATOMIC_SPECIES
Br 79.90 Br.upf
Li 6.94 Li.upf
As 74.92 As.upf
CELL_PARAMETERS angstrom
-1.719 -3.426 -2.544
1.447 -3.048 3.127
-5.135 3.720 2.619
ATOMIC_POSITIONS crystal
Br 0.660 0.660 0.320
Br 0.340 0.340 0.680
Li 0.250 0.750 0.500
Li 0.750 0.250 0.500
As 0.000 0.000 0.000
```

5.
A crystal of U4Ge6Os7 relaxed with PBEsol, computed with SCAN. Values from VASP.

E_tot   -61.07 eV/atom
Formation energy from the elements   -36.4 kJ per mole of atoms
SG   No. 229

```
&SYSTEM
  ibrav = 0, nat = 17, ntyp = 3
/
ATOMIC_SPECIES
Os 190.23 Os.upf
Ge 72.64 Ge.upf
U 238.03 U.upf
CELL_PARAMETERS angstrom
7.135 0.000 0.000
-2.378 6.727 0.000
-2.378 -3.364 5.826
ATOMIC_POSITIONS crystal
Os 0.750 0.250 0.500
Os 0.250 0.750 0.500
Os 0.500 0.250 0.750
Os 0.250 0.500 0.750
Os 0.500 0.750 0.250
Os 0.000 0.000 0.000
Os 0.750 0.500 0.250
Ge 0.307 0.307 0.000
Ge 0.000 0.693 0.693
Ge 0.693 0.693 0.000
Ge 0.307 0.000 0.307
Ge 0.000 0.307 0.307
Ge 0.693 0.000 0.693
U 0.000 0.500 0.000
U 0.000 0.000 0.500
U 0.500 0.500 0.500
U 0.500 0.000 0.000
```

6.
A crystal of Al3Ni2Pt relaxed with PBEsol, computed with SCAN. Values from VASP.

E_tot   -21.86 eV/atom
Formation energy from the elements   -86.6 kJ per mole of atoms
SG   No. 123

```
&SYSTEM
  ibrav = 0, nat = 6, ntyp = 3
/
ATOMIC_SPECIES
Al 26.98 Al.upf
Pt 195.08 Pt.upf
Ni 58.69 Ni.upf
CELL_PARAMETERS angstrom
-1.415 -1.758 1.796
0.296 -2.163 -1.884
7.851 -2.327 3.907
ATOMIC_POSITIONS crystal
Al 0.000 0.000 0.000
Al 0.000 0.000 0.313
Al 0.000 0.000 0.687
Pt 0.500 0.500 0.500
Ni 0.500 0.500 0.157
Ni 0.500 0.500 0.843
```

7.
A crystal of Ni3BSb relaxed with PBEsol, computed with SCAN. Values from VASP.

ΔE_f (raw)   178 kJ per mole of atoms
E_tot   -16.80 eV/atom
SG   No. 221

```
&SYSTEM
  ibrav = 0, nat = 5, ntyp = 3
/
ATOMIC_SPECIES
Ni 58.69 Ni.upf
B 10.81 B.upf
Sb 121.76 Sb.upf
CELL_PARAMETERS angstrom
4.580 0.000 0.000
0.000 4.580 0.000
0.000 0.000 4.580
ATOMIC_POSITIONS crystal
Ni 0.000 0.000 0.500
Ni 0.500 0.000 0.000
Ni 0.000 0.500 0.000
B 0.500 0.500 0.500
Sb 0.000 0.000 0.000
```

8.
A crystal of CaLaSe2S relaxed with PBEsol, computed with SCAN. Values from VASP.

ΔE_f (raw)   -61 kJ per mole of atoms
E_tot   -21.14 eV/atom
SG   No. 123

```
&SYSTEM
  ibrav = 0, nat = 5, ntyp = 4
/
ATOMIC_SPECIES
Ca 40.08 Ca.upf
S 32.06 S.upf
Se 78.96 Se.upf
La 138.91 La.upf
CELL_PARAMETERS angstrom
-0.683 4.367 2.430
-2.685 -2.612 3.941
4.670 -0.760 2.679
ATOMIC_POSITIONS crystal
Ca 0.500 0.500 0.500
S 0.000 0.000 0.000
Se 0.000 0.500 0.000
Se 0.000 0.000 0.500
La 0.500 0.000 0.000
```

9.
A crystal of KHfZnN2 relaxed with PBEsol, computed with SCAN. Values from VASP.

ΔE_f (raw)   170 kJ per mole of atoms
E_tot   -18.86 eV/atom
SG   No. 123

```
&SYSTEM
  ibrav = 0, nat = 5, ntyp = 4
/
ATOMIC_SPECIES
K 39.10 K.upf
N 14.01 N.upf
Zn 65.41 Zn.upf
Hf 178.49 Hf.upf
CELL_PARAMETERS angstrom
-3.718 -1.598 0.728
1.287 -3.640 -1.414
1.260 -1.109 4.000
ATOMIC_POSITIONS crystal
K 0.000 0.000 0.500
N 0.000 0.500 0.000
N 0.500 0.000 0.000
Zn 0.000 0.000 0.000
Hf 0.500 0.500 0.500
```

10.
A crystal of SrMg30CuO32 relaxed with PBEsol, computed with SCAN. Values from VASP.

ΔE_f (raw)   -280 kJ per mole of atoms
E_tot   -8.93 eV/atom
SG   No. 123

```
&SYSTEM
  ibrav = 0, nat = 64, ntyp = 4
/
ATOMIC_SPECIES
Mg 24.30 Mg.upf
O 16.00 O.upf
Cu 63.55 Cu.upf
Sr 87.62 Sr.upf
CELL_PARAMETERS angstrom
-6.146 5.814 0.081
-4.502 -4.682 -5.552
-3.771 -4.076 6.495
ATOMIC_POSITIONS crystal
Mg 0.500 0.745 0.255
Mg 0.500 0.500 0.000
Mg 0.751 0.251 0.500
Mg 0.000 0.500 0.500
Mg 0.249 0.251 0.500
Mg 0.500 0.000 0.500
Mg 0.244 0.000 0.744
Mg 0.751 0.500 0.251
Mg 0.249 0.500 0.251
Mg 0.756 0.256 0.000
Mg 0.249 0.500 0.749
Mg 0.244 0.256 0.000
Mg 0.756 0.744 0.000
Mg 0.000 0.249 0.249
Mg 0.500 0.255 0.255
Mg 0.751 0.749 0.500
Mg 0.751 0.500 0.749
Mg 0.500 0.745 0.745
Mg 0.000 0.751 0.751
Mg 0.244 0.000 0.256
Mg 0.249 0.749 0.500
Mg 0.000 0.500 0.000
Mg 0.756 0.000 0.744
Mg 0.756 0.000 0.256
Mg 0.500 0.255 0.745
Mg 0.000 0.751 0.249
Mg 0.244 0.744 0.000
Mg 0.500 0.500 0.500
Mg 0.000 0.000 0.500
Mg 0.000 0.249 0.751
O 0.248 0.500 0.000
O 0.500 0.746 0.500
O 0.250 0.751 0.751
O 0.250 0.751 0.249
O 0.000 0.260 0.000
O 0.000 0.500 0.748
O 0.750 0.751 0.751
O 0.250 0.249 0.249
O 0.500 0.269 0.000
O 0.500 0.254 0.500
O 0.774 0.000 0.000
O 0.000 0.500 0.252
O 0.248 0.000 0.500
O 0.500 0.000 0.731
O 0.500 0.000 0.269
O 0.000 0.000 0.260
O 0.500 0.500 0.254
O 0.752 0.500 0.000
O 0.250 0.249 0.751
O 0.000 0.740 0.000
O 0.000 0.252 0.500
O 0.500 0.500 0.746
O 0.000 0.000 0.740
O 0.226 0.000 0.000
O 0.500 0.731 0.000
O 0.750 0.249 0.751
O 0.751 0.500 0.500
O 0.000 0.748 0.500
O 0.249 0.500 0.500
O 0.750 0.249 0.249
O 0.750 0.751 0.249
O 0.752 0.000 0.500
Cu 0.000 0.000 0.000
Sr 0.500 0.000 0.000
```

11.
A crystal of Mg7Si8O22F2 relaxed with PBEsol, computed with SCAN. Values from VASP.

ΔE_f (raw)   -304 kJ per mole of atoms
E_tot   -9.79 eV/atom
SG   No. 58

```
&SYSTEM
  ibrav = 0, nat = 78, ntyp = 4
/
ATOMIC_SPECIES
Si 28.09 Si.upf
F 19.00 F.upf
Mg 24.30 Mg.upf
O 16.00 O.upf
CELL_PARAMETERS angstrom
-1.853 -2.693 -4.200
8.580 -3.480 -1.554
-3.737 -13.940 10.587
ATOMIC_POSITIONS crystal
Si 0.328 0.707 0.828
Si 0.675 0.214 0.415
Si 0.675 0.214 0.585
Si 0.325 0.786 0.585
Si 0.172 0.207 0.328
Si 0.175 0.286 0.915
Si 0.325 0.786 0.415
Si 0.328 0.707 0.172
Si 0.672 0.293 0.828
Si 0.828 0.793 0.672
Si 0.172 0.207 0.672
Si 0.672 0.293 0.172
Si 0.825 0.714 0.085
Si 0.825 0.714 0.915
Si 0.828 0.793 0.328
Si 0.175 0.286 0.085
F 0.836 0.603 0.500
F 0.336 0.897 0.000
F 0.664 0.103 0.000
F 0.164 0.397 0.500
Mg 0.000 0.000 0.000
Mg 0.500 0.000 0.088
Mg 0.500 0.000 0.912
Mg 0.000 0.500 0.240
Mg 0.500 0.000 0.740
Mg 0.500 0.500 0.677
Mg 0.000 0.000 0.177
Mg 0.000 0.500 0.412
Mg 0.000 0.000 0.823
Mg 0.500 0.500 0.323
Mg 0.000 0.500 0.760
Mg 0.000 0.500 0.588
Mg 0.500 0.000 0.260
Mg 0.500 0.500 0.500
O 0.144 0.346 0.000
O 0.667 0.388 0.585
O 0.555 0.851 0.636
O 0.317 0.622 0.751
O 0.055 0.649 0.136
O 0.683 0.378 0.751
O 0.937 0.155 0.380
O 0.333 0.612 0.415
O 0.833 0.888 0.915
O 0.437 0.345 0.120
O 0.437 0.345 0.880
O 0.563 0.655 0.120
O 0.670 0.119 0.174
O 0.817 0.878 0.749
O 0.063 0.845 0.380
O 0.063 0.845 0.620
O 0.670 0.119 0.826
O 0.167 0.112 0.915
O 0.945 0.351 0.864
O 0.317 0.622 0.249
O 0.445 0.149 0.364
O 0.830 0.619 0.326
O 0.356 0.846 0.500
O 0.644 0.154 0.500
O 0.330 0.881 0.174
O 0.055 0.649 0.864
O 0.330 0.881 0.826
O 0.333 0.612 0.585
O 0.445 0.149 0.636
O 0.667 0.388 0.415
O 0.817 0.878 0.251
O 0.167 0.112 0.085
O 0.937 0.155 0.620
O 0.183 0.122 0.251
O 0.945 0.351 0.136
O 0.555 0.851 0.364
O 0.170 0.381 0.674
O 0.563 0.655 0.880
O 0.683 0.378 0.249
O 0.170 0.381 0.326
O 0.830 0.619 0.674
O 0.833 0.888 0.085
O 0.183 0.122 0.749
O 0.856 0.654 0.000
```

12.
A crystal of K2CuAgIr relaxed with PBEsol, computed with SCAN. Values from VASP.

E_tot   -25.69 eV/atom
Formation energy from the elements   113.5 kJ per mole of atoms
SG   No. 123

```
&SYSTEM
  ibrav = 0, nat = 5, ntyp = 4
/
ATOMIC_SPECIES
K 39.10 K.upf
Cu 63.55 Cu.upf
Ag 107.87 Ag.upf
Ir 192.22 Ir.upf
CELL_PARAMETERS angstrom
-0.902 -0.163 -4.671
5.821 -0.846 -1.094
-0.793 -5.919 0.359
ATOMIC_POSITIONS crystal
K 0.000 0.000 0.500
K 0.000 0.500 0.000
Cu 0.500 0.000 0.000
Ag 0.000 0.000 0.000
Ir 0.500 0.500 0.500
```